The following is a PBE-GGA calculation of a relaxed structure of KLiTl2Sb, from Alexandria.

Computed properties:
Total energy (eV/atom): -2.531
N(E_F) (states/eV/atom): 0.489

Cell lengths 5.448, 5.448, 5.230 Å; angles 90.00, 90.00, 90.00 degrees
Element x y z (fractional)
1 Sb 0.000 0.000 0.500
2 Tl 0.000 0.500 0.000
3 Tl 0.500 0.000 0.000
4 K 0.500 0.500 0.500
5 Li 0.000 0.000 0.000